A plane-wave DFT calculation with GGA+U was carried out for an optimized crystal structure of Co2RuF2.

Cell: 3.3535 3.3535 5.8998 Å, 73.49 73.49 90.00°
With the nearest neighbours (Å) after each atom.
Fractional coordinates of all 5 atoms:
Ru 0.0000 0.0000 0.0000  8 Co 2.73
Co 0.3757 0.3757 0.2486  4 F 2.16
Co 0.6243 0.6243 0.7514  4 F 2.16
F 0.7500 0.2500 0.5000  4 Co 2.16, 4 F 2.37
F 0.2500 0.7500 0.5000  4 Co 2.16, 4 F 2.37

Calculated values
symmetry: I4/mmm (139)
size of the total moment: 7.3 Bohr magnetons per cell
E above lowest polymorph: 0.0000 eV/atom